# SiRhCl, optimized geometry, DFT PBE-GGA
# DOS at the Fermi energy in states/eV per cell: 0.71
# V in A^3/atom: 19.71
# Symmetry: I4mm
# Energy relative to the lowest polymorph listed for this composition in kJ per mole of atoms: 46.9
data_SiRhCl
_symmetry_space_group_name_H-M 'P 1'
_symmetry_Int_Tables_number 1
_cell_length_a 6.119
_cell_length_b 6.119
_cell_length_c 3.227
_cell_angle_alpha 74.71
_cell_angle_beta 74.71
_cell_angle_gamma 30.58
loop_
_symmetry_equiv_pos_as_xyz
'x,y,z'
loop_
_atom_site_label
_atom_site_type_symbol
_atom_site_fract_x
_atom_site_fract_y
_atom_site_fract_z
_atom_site_occupancy
Rh1 Rh 0.305 0.305 0.695 1
Cl1 Cl 0.958 0.958 0.042 1
Si1 Si 0.737 0.737 0.263 1

***

# SiRhCl2, optimized geometry, DFT PBE-GGA
# DOS at the Fermi energy in states/eV per cell: 1.28
# V in A^3/atom: 22.46
# Symmetry: P4mm
# Energy relative to the lowest polymorph listed for this composition in kJ per mole of atoms: 16.8
data_SiRhCl2
_symmetry_space_group_name_H-M 'P 1'
_symmetry_Int_Tables_number 1
_cell_length_a 3.410
_cell_length_b 3.410
_cell_length_c 7.723
_cell_angle_alpha 90.00
_cell_angle_beta 90.00
_cell_angle_gamma 90.00
loop_
_symmetry_equiv_pos_as_xyz
'x,y,z'
loop_
_atom_site_label
_atom_site_type_symbol
_atom_site_fract_x
_atom_site_fract_y
_atom_site_fract_z
_atom_site_occupancy
Cl1 Cl 0.500 0.500 0.320 1
Cl2 Cl 0.000 0.000 0.941 1
Rh1 Rh 0.000 0.000 0.649 1
Si1 Si 0.500 0.500 0.590 1

***

# SiRhCl, optimized geometry, DFT PBE-GGA
# DOS at the Fermi energy in states/eV per cell: 0.39
# V in A^3/atom: 17.85
# Symmetry: F-43m
# Energy relative to the lowest polymorph listed for this composition in kJ per mole of atoms: 100.2
data_SiRhCl
_symmetry_space_group_name_H-M 'P 1'
_symmetry_Int_Tables_number 1
_cell_length_a 4.231
_cell_length_b 4.231
_cell_length_c 4.231
_cell_angle_alpha 60.00
_cell_angle_beta 60.00
_cell_angle_gamma 60.00
loop_
_symmetry_equiv_pos_as_xyz
'x,y,z'
loop_
_atom_site_label
_atom_site_type_symbol
_atom_site_fract_x
_atom_site_fract_y
_atom_site_fract_z
_atom_site_occupancy
Cl1 Cl 0.000 0.000 0.000 1
Si1 Si 0.750 0.750 0.750 1
Rh1 Rh 0.500 0.500 0.500 1

***

# SiRhCl2, optimized geometry, DFT PBE-GGA
# DOS at the Fermi energy in states/eV per cell: 3.23
# V in A^3/atom: 21.96
# Symmetry: Immm
# Energy relative to the lowest polymorph listed for this composition in kJ per mole of atoms: 43.2
data_SiRhCl2
_symmetry_space_group_name_H-M 'P 1'
_symmetry_Int_Tables_number 1
_cell_length_a 7.583
_cell_length_b 7.583
_cell_length_c 7.583
_cell_angle_alpha 153.14
_cell_angle_beta 153.48
_cell_angle_gamma 38.11
loop_
_symmetry_equiv_pos_as_xyz
'x,y,z'
loop_
_atom_site_label
_atom_site_type_symbol
_atom_site_fract_x
_atom_site_fract_y
_atom_site_fract_z
_atom_site_occupancy
Cl1 Cl 0.606 0.606 0.000 1
Cl2 Cl 0.894 0.894 0.000 1
Rh1 Rh 0.750 0.250 0.500 1
Si1 Si 0.250 0.750 0.500 1

***

# SiRhCl2, optimized geometry, DFT PBE-GGA
# DOS at the Fermi energy in states/eV per cell: 3.27
# V in A^3/atom: 17.09
# Symmetry: P4/mmm
# Energy relative to the lowest polymorph listed for this composition in kJ per mole of atoms: 104.3
data_SiRhCl2
_symmetry_space_group_name_H-M 'P 1'
_symmetry_Int_Tables_number 1
_cell_length_a 4.492
_cell_length_b 4.492
_cell_length_c 3.388
_cell_angle_alpha 90.00
_cell_angle_beta 90.00
_cell_angle_gamma 90.00
loop_
_symmetry_equiv_pos_as_xyz
'x,y,z'
loop_
_atom_site_label
_atom_site_type_symbol
_atom_site_fract_x
_atom_site_fract_y
_atom_site_fract_z
_atom_site_occupancy
Cl1 Cl 0.000 0.000 0.000 1
Cl2 Cl 0.500 0.500 0.000 1
Si1 Si 0.000 0.500 0.500 1
Rh1 Rh 0.500 0.000 0.500 1

***

# SiRhCl2, optimized geometry, DFT PBE-GGA
# DOS at the Fermi energy in states/eV per cell: 2.56
# V in A^3/atom: 18.67
# Symmetry: Cmmm
# Energy relative to the lowest polymorph listed for this composition in kJ per mole of atoms: 86.6
data_SiRhCl2
_symmetry_space_group_name_H-M 'P 1'
_symmetry_Int_Tables_number 1
_cell_length_a 3.233
_cell_length_b 3.233
_cell_length_c 8.523
_cell_angle_alpha 90.00
_cell_angle_beta 90.00
_cell_angle_gamma 123.04
loop_
_symmetry_equiv_pos_as_xyz
'x,y,z'
loop_
_atom_site_label
_atom_site_type_symbol
_atom_site_fract_x
_atom_site_fract_y
_atom_site_fract_z
_atom_site_occupancy
Rh1 Rh 0.500 0.500 0.250 1
Cl1 Cl 0.000 0.000 0.464 1
Cl2 Cl 0.000 0.000 0.036 1
Si1 Si 0.500 0.500 0.750 1

***

Number 1: magnetization 0.0 μB per cell, formation energy without anion corrections -0.09 eV per atom, electronic total energy -4.964 eV/atom. Number 2: magnetization 0.0 μB per cell, formation energy without anion corrections -0.40 eV per atom, electronic total energy -4.521 eV/atom. Number 3: magnetization 0.0 μB per cell, formation energy without anion corrections 0.46 eV per atom, electronic total energy -4.412 eV/atom. Number 4: magnetization 0.9 μB per cell, formation energy without anion corrections -0.13 eV per atom, electronic total energy -4.247 eV/atom. Number 5: magnetization 0.0 μB per cell, formation energy without anion corrections 0.50 eV per atom, electronic total energy -3.614 eV/atom. Number 6: magnetization 0.0 μB per cell, formation energy without anion corrections 0.32 eV per atom, electronic total energy -3.797 eV/atom.